This record from OQMD describes a relaxed structure of Cd2AgP2O8. The functional is PBE. Values from VASP.

```
&SYSTEM
  ibrav = 0, nat = 13, ntyp = 4
/
ATOMIC_SPECIES
Cd 112.41 Cd.upf
Ag 107.87 Ag.upf
P 30.97 P.upf
O 16.00 O.upf
ATOMIC_POSITIONS crystal
Cd 0.206 0.233 0.181
Cd 0.794 0.767 0.819
Ag 0.500 0.500 0.500
P 0.129 0.163 0.721
P 0.871 0.837 0.279
O 0.123 0.361 0.845
O 0.185 0.834 0.309
O 0.253 0.253 0.506
O 0.305 0.883 0.832
O 0.695 0.117 0.168
O 0.747 0.747 0.494
O 0.815 0.166 0.691
O 0.877 0.639 0.155
CELL_PARAMETERS angstrom
4.879 0.000 0.000
2.017 5.292 0.000
0.631 1.624 6.537
```

Output
Space group: P-1 (2)
Electronic total energy, eV/f.u.: -76.044

This record from OQMD describes a relaxed structure of CdAgPO. The functional is PBE. Values from VASP.

```
&SYSTEM
  ibrav = 0, nat = 8, ntyp = 4
/
ATOMIC_SPECIES
Cd 112.41 Cd.upf
Ag 107.87 Ag.upf
P 30.97 P.upf
O 16.00 O.upf
ATOMIC_POSITIONS crystal
Cd 0.000 0.134 0.000
Cd 0.000 0.866 0.500
Ag 0.500 0.283 0.499
Ag 0.500 0.717 0.999
P 0.000 0.486 0.792
P 0.000 0.514 0.292
O 0.500 0.003 0.736
O 0.500 0.997 0.236
CELL_PARAMETERS angstrom
3.254 0.000 0.000
0.000 6.894 0.000
0.000 0.000 5.679
```

Output
ΔE to the lowest computed polymorph, eV per atom: 0.000
Space group: Pmc2_1 (26)

This record from OQMD describes a relaxed structure of CdAgPO. The functional is PBE. Values from VASP.

```
&SYSTEM
  ibrav = 0, nat = 8, ntyp = 4
/
ATOMIC_SPECIES
Cd 112.41 Cd.upf
Ag 107.87 Ag.upf
P 30.97 P.upf
O 16.00 O.upf
ATOMIC_POSITIONS crystal
Cd 0.000 0.215 0.000
Cd 0.000 0.785 0.500
Ag 0.500 0.152 0.501
Ag 0.500 0.848 0.001
P 0.500 0.434 0.999
P 0.500 0.566 0.499
O 0.000 0.136 0.499
O 0.000 0.864 0.999
CELL_PARAMETERS angstrom
4.429 0.000 0.000
0.000 6.717 0.000
0.000 0.000 4.498
```

Output
ΔE to the lowest computed polymorph, eV per atom: 0.026
Space group: Pmc2_1 (26)

This record from OQMD describes a relaxed structure of CdAgSO. The functional is PBE. Values from VASP.

```
&SYSTEM
  ibrav = 0, nat = 16, ntyp = 4
/
ATOMIC_SPECIES
Cd 112.41 Cd.upf
Ag 107.87 Ag.upf
S 32.06 S.upf
O 16.00 O.upf
ATOMIC_POSITIONS crystal
Cd 0.025 0.003 0.250
Cd 0.025 0.497 0.750
Cd 0.975 0.503 0.250
Cd 0.975 0.997 0.750
Ag 0.493 0.750 0.000
Ag 0.493 0.750 0.500
Ag 0.507 0.250 0.000
Ag 0.507 0.250 0.500
S 0.007 0.250 0.000
S 0.007 0.250 0.500
S 0.993 0.750 0.000
S 0.993 0.750 0.500
O 0.491 0.590 0.250
O 0.491 0.910 0.750
O 0.509 0.090 0.250
O 0.509 0.410 0.750
CELL_PARAMETERS angstrom
4.855 0.000 0.000
0.000 7.592 0.000
0.000 0.000 7.375
```

Output
ΔE to the lowest computed polymorph, eV per atom: 0.101
Space group: Pbcm (57)

This record from OQMD describes a relaxed structure of CdAgSO. The functional is PBE. Values from VASP.

```
&SYSTEM
  ibrav = 0, nat = 16, ntyp = 4
/
ATOMIC_SPECIES
Cd 112.41 Cd.upf
Ag 107.87 Ag.upf
S 32.06 S.upf
O 16.00 O.upf
ATOMIC_POSITIONS crystal
Cd 0.225 0.250 0.013
Cd 0.275 0.750 0.513
Cd 0.725 0.250 0.487
Cd 0.775 0.750 0.987
Ag 0.152 0.250 0.751
Ag 0.348 0.750 0.251
Ag 0.652 0.250 0.749
Ag 0.848 0.750 0.249
S 0.092 0.250 0.359
S 0.408 0.750 0.859
S 0.592 0.250 0.141
S 0.908 0.750 0.641
O 0.094 0.750 0.102
O 0.406 0.250 0.602
O 0.594 0.750 0.398
O 0.906 0.250 0.898
CELL_PARAMETERS angstrom
6.081 0.000 0.000
0.000 3.671 0.000
0.000 0.000 11.847
```

Output
ΔE to the lowest computed polymorph, eV per atom: 0.072
Space group: Pnma (62)

This record from OQMD describes a relaxed structure of CdAgSO. The functional is PBE. Values from VASP.

```
&SYSTEM
  ibrav = 0, nat = 8, ntyp = 4
/
ATOMIC_SPECIES
Cd 112.41 Cd.upf
Ag 107.87 Ag.upf
S 32.06 S.upf
O 16.00 O.upf
ATOMIC_POSITIONS crystal
Cd 0.250 0.250 0.111
Cd 0.750 0.750 0.889
Ag 0.250 0.250 0.699
Ag 0.750 0.750 0.301
S 0.250 0.750 0.500
S 0.750 0.250 0.500
O 0.250 0.250 0.902
O 0.750 0.750 0.098
CELL_PARAMETERS angstrom
3.494 0.000 0.000
0.000 3.494 0.000
0.000 0.000 10.948
```

Output
ΔE to the lowest computed polymorph, eV per atom: 0.232
Space group: P4/nmm (129)

This record from OQMD describes a relaxed structure of CdAgSO. The functional is PBE. Values from VASP.

```
&SYSTEM
  ibrav = 0, nat = 16, ntyp = 4
/
ATOMIC_SPECIES
Cd 112.41 Cd.upf
Ag 107.87 Ag.upf
S 32.06 S.upf
O 16.00 O.upf
ATOMIC_POSITIONS crystal
Cd 0.112 0.150 0.000
Cd 0.388 0.150 0.500
Cd 0.612 0.850 0.000
Cd 0.888 0.850 0.500
Ag 0.242 0.590 0.821
Ag 0.258 0.590 0.321
Ag 0.742 0.410 0.821
Ag 0.758 0.410 0.321
S 0.032 0.838 0.080
S 0.468 0.838 0.580
S 0.532 0.162 0.080
S 0.968 0.162 0.580
O 0.011 0.418 0.067
O 0.489 0.418 0.567
O 0.511 0.582 0.067
O 0.989 0.582 0.567
CELL_PARAMETERS angstrom
6.050 0.000 0.000
0.000 7.824 0.000
0.000 0.000 5.974
```

Output
ΔE to the lowest computed polymorph, eV per atom: 0.142
Space group: Pca2_1 (29)

This record from OQMD describes a relaxed structure of CdAgSO. The functional is PBE. Values from VASP.

```
&SYSTEM
  ibrav = 0, nat = 8, ntyp = 4
/
ATOMIC_SPECIES
Cd 112.41 Cd.upf
Ag 107.87 Ag.upf
S 32.06 S.upf
O 16.00 O.upf
ATOMIC_POSITIONS crystal
Cd 0.250 0.250 0.129
Cd 0.750 0.750 0.871
Ag 0.250 0.250 0.572
Ag 0.750 0.750 0.428
S 0.250 0.250 0.854
S 0.750 0.750 0.146
O 0.250 0.750 0.500
O 0.750 0.250 0.500
CELL_PARAMETERS angstrom
4.041 0.000 0.000
0.000 4.041 0.000
0.000 0.000 9.521
```

Output
ΔE to the lowest computed polymorph, eV per atom: 0.280
Space group: P4/nmm (129)

This record from OQMD describes a relaxed structure of CdAgSO. The functional is PBE. Values from VASP.

```
&SYSTEM
  ibrav = 0, nat = 8, ntyp = 4
/
ATOMIC_SPECIES
Cd 112.41 Cd.upf
Ag 107.87 Ag.upf
S 32.06 S.upf
O 16.00 O.upf
ATOMIC_POSITIONS crystal
Cd 0.333 0.667 0.000
Cd 0.667 0.333 0.500
Ag 0.000 0.000 0.233
Ag 0.000 0.000 0.733
S 0.333 0.667 0.342
S 0.667 0.333 0.842
O 0.000 0.000 0.063
O 0.000 0.000 0.563
CELL_PARAMETERS angstrom
3.598 0.000 0.000
-1.799 3.116 0.000
0.000 0.000 12.734
```

Output
ΔE to the lowest computed polymorph, eV per atom: 0.065
Space group: P6_3mc (186)

This record from OQMD describes a relaxed structure of CdAgSO. The functional is PBE. Values from VASP.

```
&SYSTEM
  ibrav = 0, nat = 8, ntyp = 4
/
ATOMIC_SPECIES
Cd 112.41 Cd.upf
Ag 107.87 Ag.upf
S 32.06 S.upf
O 16.00 O.upf
ATOMIC_POSITIONS crystal
Cd 0.250 0.750 0.000
Cd 0.750 0.250 0.000
Ag 0.250 0.250 0.242
Ag 0.750 0.750 0.758
S 0.250 0.250 0.690
S 0.750 0.750 0.310
O 0.250 0.250 0.513
O 0.750 0.750 0.487
CELL_PARAMETERS angstrom
4.069 0.000 0.000
0.000 4.069 0.000
0.000 0.000 8.567
```

Output
ΔE to the lowest computed polymorph, eV per atom: 0.298
Space group: P4/nmm (129)

This record from OQMD describes a relaxed structure of CdAgSO. The functional is PBE. Values from VASP.

```
&SYSTEM
  ibrav = 0, nat = 8, ntyp = 4
/
ATOMIC_SPECIES
Cd 112.41 Cd.upf
Ag 107.87 Ag.upf
S 32.06 S.upf
O 16.00 O.upf
ATOMIC_POSITIONS crystal
Cd 0.134 0.866 0.750
Cd 0.866 0.134 0.250
Ag 0.424 0.576 0.750
Ag 0.576 0.424 0.250
S 0.217 0.783 0.250
S 0.783 0.217 0.750
O 0.000 0.000 0.000
O 0.000 0.000 0.500
CELL_PARAMETERS angstrom
1.749 -6.552 0.000
1.749 6.552 0.000
0.000 0.000 5.766
```

Output
ΔE to the lowest computed polymorph, eV per atom: 0.263
Space group: Cmcm (63)

This record from OQMD describes a relaxed structure of CdAgSO. The functional is PBE. Values from VASP.

```
&SYSTEM
  ibrav = 0, nat = 16, ntyp = 4
/
ATOMIC_SPECIES
Cd 112.41 Cd.upf
Ag 107.87 Ag.upf
S 32.06 S.upf
O 16.00 O.upf
ATOMIC_POSITIONS crystal
Cd 0.038 0.250 0.246
Cd 0.462 0.750 0.746
Cd 0.538 0.250 0.254
Cd 0.962 0.750 0.754
Ag 0.246 0.250 0.980
Ag 0.254 0.750 0.480
Ag 0.746 0.250 0.520
Ag 0.754 0.750 0.020
S 0.214 0.250 0.624
S 0.286 0.750 0.124
S 0.714 0.250 0.876
S 0.786 0.750 0.376
O 0.218 0.750 0.867
O 0.282 0.250 0.367
O 0.718 0.750 0.633
O 0.782 0.250 0.133
CELL_PARAMETERS angstrom
6.647 0.000 0.000
0.000 3.495 0.000
0.000 0.000 12.029
```

Output
ΔE to the lowest computed polymorph, eV per atom: 0.043
Space group: Pnma (62)

This record from OQMD describes a relaxed structure of CdAgSO. The functional is PBE. Values from VASP.

```
&SYSTEM
  ibrav = 0, nat = 8, ntyp = 4
/
ATOMIC_SPECIES
Cd 112.41 Cd.upf
Ag 107.87 Ag.upf
S 32.06 S.upf
O 16.00 O.upf
ATOMIC_POSITIONS crystal
Cd 0.064 0.936 0.750
Cd 0.936 0.064 0.250
Ag 0.360 0.640 0.750
Ag 0.640 0.360 0.250
S 0.281 0.719 0.250
S 0.719 0.281 0.750
O 0.500 0.500 0.000
O 0.500 0.500 0.500
CELL_PARAMETERS angstrom
1.633 -6.969 0.000
1.633 6.969 0.000
0.000 0.000 5.721
```

Output
ΔE to the lowest computed polymorph, eV per atom: 0.185
Space group: Cmcm (63)

This record from OQMD describes a relaxed structure of CdAgSO. The functional is PBE. Values from VASP.

```
&SYSTEM
  ibrav = 0, nat = 8, ntyp = 4
/
ATOMIC_SPECIES
Cd 112.41 Cd.upf
Ag 107.87 Ag.upf
S 32.06 S.upf
O 16.00 O.upf
ATOMIC_POSITIONS crystal
Cd 0.187 0.813 0.500
Cd 0.813 0.187 0.000
Ag 0.457 0.543 0.426
Ag 0.543 0.457 0.926
S 0.168 0.832 0.056
S 0.832 0.168 0.556
O 0.404 0.596 0.080
O 0.596 0.404 0.580
CELL_PARAMETERS angstrom
1.748 -6.965 0.000
1.748 6.965 0.000
0.000 0.000 5.972
```

Output
ΔE to the lowest computed polymorph, eV per atom: 0.128
Space group: Cmc2_1 (36)

This record from OQMD describes a relaxed structure of CdAgSO. The functional is PBE. Values from VASP.

```
&SYSTEM
  ibrav = 0, nat = 8, ntyp = 4
/
ATOMIC_SPECIES
Cd 112.41 Cd.upf
Ag 107.87 Ag.upf
S 32.06 S.upf
O 16.00 O.upf
ATOMIC_POSITIONS crystal
Cd 0.250 0.250 0.200
Cd 0.750 0.750 0.800
Ag 0.250 0.250 0.612
Ag 0.750 0.750 0.388
S 0.250 0.750 0.000
S 0.750 0.250 0.000
O 0.250 0.250 0.394
O 0.750 0.750 0.606
CELL_PARAMETERS angstrom
3.676 0.000 0.000
0.000 3.676 0.000
0.000 0.000 10.575
```

Output
ΔE to the lowest computed polymorph, eV per atom: 0.444
Space group: P4/nmm (129)

This record from OQMD describes a relaxed structure of CdAgSO. The functional is PBE. Values from VASP.

```
&SYSTEM
  ibrav = 0, nat = 32, ntyp = 4
/
ATOMIC_SPECIES
Cd 112.41 Cd.upf
Ag 107.87 Ag.upf
S 32.06 S.upf
O 16.00 O.upf
ATOMIC_POSITIONS crystal
Cd 0.032 0.250 0.188
Cd 0.032 0.250 0.688
Cd 0.468 0.750 0.188
Cd 0.468 0.750 0.688
Cd 0.532 0.250 0.312
Cd 0.532 0.250 0.812
Cd 0.968 0.750 0.312
Cd 0.968 0.750 0.812
Ag 0.248 0.528 0.499
Ag 0.248 0.972 0.999
Ag 0.252 0.028 0.499
Ag 0.252 0.472 0.999
Ag 0.748 0.528 0.001
Ag 0.748 0.972 0.501
Ag 0.752 0.028 0.001
Ag 0.752 0.472 0.501
S 0.001 0.000 0.251
S 0.001 0.500 0.751
S 0.499 0.000 0.751
S 0.499 0.500 0.251
S 0.501 0.000 0.249
S 0.501 0.500 0.749
S 0.999 0.000 0.749
S 0.999 0.500 0.249
O 0.232 0.245 0.432
O 0.232 0.255 0.932
O 0.268 0.745 0.432
O 0.268 0.755 0.932
O 0.732 0.245 0.068
O 0.732 0.255 0.568
O 0.768 0.745 0.068
O 0.768 0.755 0.568
CELL_PARAMETERS angstrom
6.898 0.000 0.000
0.000 11.165 0.000
0.000 0.000 7.180
```

Output
ΔE to the lowest computed polymorph, eV per atom: 0.056
Space group: Pbca (61)

This record from OQMD describes a relaxed structure of CdAg2SO6. The functional is PBE. Values from VASP.

```
&SYSTEM
  ibrav = 0, nat = 20, ntyp = 4
/
ATOMIC_SPECIES
Cd 112.41 Cd.upf
Ag 107.87 Ag.upf
S 32.06 S.upf
O 16.00 O.upf
ATOMIC_POSITIONS crystal
Cd 0.212 0.348 0.143
Cd 0.788 0.652 0.857
Ag 0.241 0.356 0.641
Ag 0.267 0.863 0.636
Ag 0.733 0.137 0.364
Ag 0.759 0.644 0.359
S 0.266 0.816 0.166
S 0.734 0.184 0.834
O 0.124 0.646 0.285
O 0.131 0.048 0.105
O 0.165 0.559 0.804
O 0.331 0.181 0.452
O 0.401 0.781 0.974
O 0.407 0.771 0.321
O 0.593 0.229 0.679
O 0.599 0.219 0.026
O 0.669 0.819 0.548
O 0.835 0.441 0.196
O 0.869 0.952 0.895
O 0.876 0.354 0.715
CELL_PARAMETERS angstrom
6.569 0.000 0.000
2.212 6.565 0.000
2.045 2.905 6.152
```

Output
Space group: P-1 (2)
Electronic total energy, eV/f.u.: -47.786

This record from OQMD describes a relaxed structure of CdAgSO. The functional is PBE. Values from VASP.

```
&SYSTEM
  ibrav = 0, nat = 16, ntyp = 4
/
ATOMIC_SPECIES
Cd 112.41 Cd.upf
Ag 107.87 Ag.upf
S 32.06 S.upf
O 16.00 O.upf
ATOMIC_POSITIONS crystal
Cd 0.002 0.151 0.352
Cd 0.498 0.849 0.852
Cd 0.502 0.349 0.648
Cd 0.998 0.651 0.148
Ag 0.020 0.239 0.917
Ag 0.480 0.761 0.417
Ag 0.520 0.261 0.083
Ag 0.980 0.739 0.583
S 0.182 0.597 0.835
S 0.318 0.403 0.335
S 0.682 0.903 0.165
S 0.818 0.097 0.665
O 0.150 0.857 0.345
O 0.350 0.143 0.845
O 0.650 0.643 0.655
O 0.850 0.357 0.155
CELL_PARAMETERS angstrom
6.037 0.000 0.000
0.000 6.993 0.000
0.000 0.000 7.349
```

Output
ΔE to the lowest computed polymorph, eV per atom: 0.142
Space group: P2_12_12_1 (19)

This record from OQMD describes a relaxed structure of CdAgSO. The functional is PBE. Values from VASP.

```
&SYSTEM
  ibrav = 0, nat = 16, ntyp = 4
/
ATOMIC_SPECIES
Cd 112.41 Cd.upf
Ag 107.87 Ag.upf
S 32.06 S.upf
O 16.00 O.upf
ATOMIC_POSITIONS crystal
Cd 0.033 0.222 0.097
Cd 0.467 0.778 0.597
Cd 0.533 0.278 0.903
Cd 0.967 0.722 0.403
Ag 0.038 0.227 0.545
Ag 0.462 0.773 0.045
Ag 0.538 0.273 0.455
Ag 0.962 0.727 0.955
S 0.231 0.986 0.817
S 0.269 0.014 0.317
S 0.731 0.514 0.183
S 0.769 0.486 0.683
O 0.242 0.489 0.985
O 0.258 0.511 0.485
O 0.742 0.011 0.015
O 0.758 0.989 0.515
CELL_PARAMETERS angstrom
5.973 0.000 0.000
0.000 6.146 0.000
0.000 0.000 7.845
```

Output
ΔE to the lowest computed polymorph, eV per atom: 0.145
Space group: P2_12_12_1 (19)

Values for volume, Å³ per cell, ordered as above
168.8; 127.4; 133.8; 271.8; 264.4; 133.7; 282.8; 155.5; 142.8; 141.8; 132.1; 279.4; 130.3; 145.4; 142.9; 553.0; 265.3; 310.3; 288.0